Here is an optimized crystal structure of Li3VSiBO7 from Alexandria. Energies are from PBE+U.

Summary:
Total energy: -0.509 Ry per atom
Calculated volume: 138 Å³/f.u.
Space-group type: P2_1/m
DOS at the Fermi energy: 0.000 states/eV per atom

The structure in extended XYZ format:
```
26
Lattice="5.1958 0.0000 0.0000 0.0000 6.4390 0.0000 -0.8594 0.0000 8.2638" Properties=species:S:1:pos:R:3 pbc="T T T"
Li 1.0117 0.0930 2.2597
Li 1.0117 3.1265 2.2597
Li 0.7300 1.6098 5.0168
Li 3.6063 4.8293 3.2470
Li 3.3247 3.3125 6.0041
Li 3.3247 6.3460 6.0041
V 0.4035 4.8293 6.8141
V 3.9329 1.6098 1.4497
Si 0.5103 1.6098 7.6646
Si 3.8260 4.8293 0.5992
B 1.0613 4.8293 4.4385
B 3.2751 1.6098 3.8253
O -0.2881 4.8293 4.8462
O 0.5329 1.6098 0.8029
O 0.2249 0.3535 6.6613
O 0.2249 2.8660 6.6613
O 1.5266 4.8293 3.1694
O 2.2533 4.8293 0.0845
O 1.9349 4.8293 5.5478
O 2.4015 1.6098 2.7160
O 2.0831 1.6098 8.1793
O 2.8098 1.6098 5.0944
O 4.1115 3.5730 1.6025
O 4.1115 6.0856 1.6025
O 3.8035 4.8293 7.4609
O 4.6244 1.6098 3.4176
```